Entry from the Alexandria database: a relaxed structure of HfRh3 (PBE-GGA).

As for the total moment: 0.00 μB/cell. Its final energy is -8.754 eV per atom. For the energy relative to the elements, the calculation gives -0.75 eV/atom.

The space group is Pm-3m (No. 221) and the conventional cell measures 3.9462, 3.9462 and 3.9462 Å, with angles of 90.00, 90.00 and 90.00 degrees. The distinct sites, in fractional coordinates, are Hf at (0.0000, 0.0000, 0.0000) and Rh at (0.0000, 0.5000, 0.5000).